Here is a geometry-optimized CsPaH2F8 structure from Alexandria. Energies are from PBE.

abc: 5.3222 5.3222 8.5404
angles: 90.00 90.00 120.00
With the nearest neighbours (Å) after each atom.
Fractional coordinates of all 12 atoms:
Cs 0.0000 0.0000 0.0000  12 F 3.18-3.40, 6 H 3.54
Pa 0.0000 0.0000 0.5000  6 F 2.12
H 0.3333 0.6667 0.7935  1 F 0.96
H 0.6667 0.3333 0.2065  1 F 0.96
F 0.0272 0.3259 0.6526  1 H 2.11, 1 Pa 2.12
F 0.2987 0.9728 0.6526  1 H 2.11, 1 Pa 2.12
F 0.3259 0.2987 0.3474  1 H 2.11, 1 Pa 2.12
F 0.3333 0.6667 0.9056  1 H 0.96
F 0.6667 0.3333 0.0944  1 H 0.96
F 0.6741 0.7013 0.6526  1 H 2.11, 1 Pa 2.12
F 0.7013 0.0272 0.3474  1 H 2.11, 1 Pa 2.12
F 0.9728 0.6741 0.3474  1 H 2.11, 1 Pa 2.12

Computed properties:
Space group   P-3 (147)
DFT total energy   -67.3 eV per cell
Total magnetization   0.00 μB/cell